# 1
# TlSb2H (meta-GGA SCAN, single point on PBEsol structure)
# Density of states at the Fermi level (states/eV per cell): 9.4
# DFT total energy (eV/atom): -36.888
# Spin magnetization (μB/atom): 0.01
data_TlSb2H
_cell_length_a 7.063
_cell_length_b 7.063
_cell_length_c 7.063
_cell_angle_alpha 90.00
_cell_angle_beta 90.00
_cell_angle_gamma 90.00
_symmetry_space_group_name_H-M 'F m -3 m'
_symmetry_Int_Tables_number 225
_symmetry_space_group_name_Hall '-F 4 2 3'
loop_
_atom_site_label
_atom_site_fract_x
_atom_site_fract_y
_atom_site_fract_z
Tl1 0.000 0.000 0.000
Sb1 0.250 0.250 0.250
H1 0.000 0.000 0.500

# 2
# BaNaIr3 (meta-GGA SCAN, single point on PBEsol structure)
# Density of states at the Fermi level (states/eV per cell): 3.6
# DFT total energy (eV/atom): -48.824
# E_form (eV per formula unit): 12.94
# Spin magnetization (μB/atom): 0.37
data_BaNaIr3
_cell_length_a 5.123
_cell_length_b 5.123
_cell_length_c 5.123
_cell_angle_alpha 90.00
_cell_angle_beta 90.00
_cell_angle_gamma 90.00
_symmetry_space_group_name_H-M 'P m -3 m'
_symmetry_Int_Tables_number 221
_symmetry_space_group_name_Hall '-P 4 2 3'
loop_
_atom_site_label
_atom_site_fract_x
_atom_site_fract_y
_atom_site_fract_z
Ba1 0.000 0.000 0.000
Na1 0.500 0.500 0.500
Ir1 0.000 0.000 0.500

# 3
# TiGeTe2 (meta-GGA SCAN, single point on PBEsol structure)
# Density of states at the Fermi level (states/eV per cell): 6.0
# DFT total energy (eV/atom): -27.480
# Spin magnetization (μB/atom): 0.50
data_TiGeTe2
_cell_length_a 6.440
_cell_length_b 6.440
_cell_length_c 12.509
_cell_angle_alpha 90.00
_cell_angle_beta 90.00
_cell_angle_gamma 90.00
_symmetry_space_group_name_H-M 'I -4 2 d'
_symmetry_Int_Tables_number 122
_symmetry_space_group_name_Hall 'I -4 2bw'
loop_
_atom_site_label
_atom_site_fract_x
_atom_site_fract_y
_atom_site_fract_z
Ti1 0.000 0.000 0.000
Ge1 0.000 0.000 0.500
Te1 0.230 0.250 0.125

# 4
# LaNb2Ir2 (meta-GGA SCAN, single point on PBEsol structure)
# Density of states at the Fermi level (states/eV per cell): 5.4
# DFT total energy (eV/atom): -51.057
# E_form (eV per formula unit): -3.72
# Spin magnetization (μB/atom): 0.00
data_LaNb2Ir2
_cell_length_a 4.468
_cell_length_b 4.468
_cell_length_c 10.448
_cell_angle_alpha 90.00
_cell_angle_beta 90.00
_cell_angle_gamma 90.00
_symmetry_space_group_name_H-M 'I 4/m m m'
_symmetry_Int_Tables_number 139
_symmetry_space_group_name_Hall '-I 4 2'
loop_
_atom_site_label
_atom_site_fract_x
_atom_site_fract_y
_atom_site_fract_z
La1 0.000 0.000 0.000
Nb1 0.000 0.500 0.250
Ir1 0.000 0.000 0.373